## YTi3Sb (PBE)

Data for a geometry-optimized YTi3Sb structure.

Output
E_form (uncorrected): 1.295 eV/atom
symmetry: Pm-3m (221)

Cell: 4.891 4.891 4.891 Å, 90.00 90.00 90.00°
Sites, in units of the cell vectors:
Y  0.000  0.000  0.000
Ti  0.000  0.000  0.500
Ti  0.000  0.500  0.000
Ti  0.500  0.000  0.000
Sb  0.500  0.500  0.500

=====

## YTi2Sb2 (PBE)

Data for a geometry-optimized YTi2Sb2 structure.

Output
E_form (uncorrected): -0.502 eV/atom
symmetry: P4/mbm (127)

Cell: 7.843 7.843 3.599 Å, 90.00 90.00 90.00°
Sites, in units of the cell vectors:
Y  0.000  0.000  0.000
Y  0.500  0.500  0.000
Ti  0.144  0.356  0.500
Ti  0.356  0.856  0.500
Ti  0.644  0.144  0.500
Ti  0.856  0.644  0.500
Sb  0.145  0.645  0.000
Sb  0.355  0.145  0.000
Sb  0.645  0.855  0.000
Sb  0.855  0.355  0.000

=====

## TiZnSb3 (PBE)

Data for a geometry-optimized TiZnSb3 structure.

Output
E_form (uncorrected): 0.792 eV/atom
symmetry: Pm-3m (221)

Cell: 5.148 5.148 5.148 Å, 90.00 90.00 90.00°
Sites, in units of the cell vectors:
Ti  0.000  0.000  0.000
Zn  0.500  0.500  0.500
Sb  0.000  0.500  0.500
Sb  0.500  0.000  0.500
Sb  0.500  0.500  0.000

=====

## TiZn2Sb (PBE)

Data for a geometry-optimized TiZn2Sb structure.

Output
E_form (uncorrected): 0.107 eV/atom
symmetry: I-42d (122)

Cell: 6.017 6.017 6.017 Å, 101.54 101.54 126.86°
Sites, in units of the cell vectors:
Ti  0.000  0.000  0.000
Ti  0.750  0.250  0.500
Zn  0.125  0.625  0.000
Zn  0.375  0.375  0.500
Zn  0.625  0.125  0.000
Zn  0.875  0.875  0.500
Sb  0.250  0.750  0.500
Sb  0.500  0.500  0.000

=====

## Ti12ZnSb6 (PBE)

Data for a geometry-optimized Ti12ZnSb6 structure.

Output
E_form (uncorrected): 0.013 eV/atom
symmetry: R-3 (148)

Cell: 7.598 7.598 7.598 Å, 98.51 98.51 98.51°
Sites, in units of the cell vectors:
Ti  0.014  0.326  0.870
Ti  0.130  0.986  0.674
Ti  0.193  0.619  0.469
Ti  0.326  0.870  0.014
Ti  0.381  0.531  0.807
Ti  0.469  0.193  0.619
Ti  0.531  0.807  0.381
Ti  0.619  0.469  0.193
Ti  0.674  0.130  0.986
Ti  0.807  0.381  0.531
Ti  0.870  0.014  0.326
Ti  0.986  0.674  0.130
Zn  0.500  0.500  0.500
Sb  0.034  0.661  0.776
Sb  0.224  0.966  0.339
Sb  0.339  0.224  0.966
Sb  0.661  0.776  0.034
Sb  0.776  0.034  0.661
Sb  0.966  0.339  0.224

=====

## Ti3ZnSb (PBE)

Data for a geometry-optimized Ti3ZnSb structure.

Output
E_form (uncorrected): 0.857 eV/atom
symmetry: Pm-3m (221)

Cell: 4.998 4.998 4.998 Å, 90.00 90.00 90.00°
Sites, in units of the cell vectors:
Ti  0.000  0.000  0.500
Ti  0.000  0.500  0.000
Ti  0.500  0.000  0.000
Zn  0.500  0.500  0.500
Sb  0.000  0.000  0.000

=====

## TiZnSb3 (PBE)

Data for a geometry-optimized TiZnSb3 structure.

Output
E_form (uncorrected): 0.235 eV/atom
symmetry: Pm-3m (221)

Cell: 5.253 5.253 5.253 Å, 90.00 90.00 90.00°
Sites, in units of the cell vectors:
Ti  0.000  0.000  0.000
Zn  0.500  0.500  0.500
Sb  0.000  0.000  0.500
Sb  0.000  0.500  0.000
Sb  0.500  0.000  0.000

=====

## Ti2ZnSb (PBE)

Data for a geometry-optimized Ti2ZnSb structure.

Output
E_form (uncorrected): -0.016 eV/atom
symmetry: I-42d (122)

Cell: 5.892 5.892 5.892 Å, 103.44 103.44 122.36°
Sites, in units of the cell vectors:
Ti  0.115  0.625  0.990
Ti  0.375  0.365  0.490
Ti  0.635  0.125  0.010
Ti  0.875  0.885  0.510
Zn  0.000  0.000  0.000
Zn  0.750  0.250  0.500
Sb  0.250  0.750  0.500
Sb  0.500  0.500  0.000

=====

## Ti2Zn2Sb (PBE)

Data for a geometry-optimized Ti2Zn2Sb structure.

Output
E_form (uncorrected): -0.072 eV/atom
symmetry: P4/mbm (127)

Cell: 6.747 6.747 3.812 Å, 90.00 90.00 90.00°
Sites, in units of the cell vectors:
Ti  0.173  0.327  0.000
Ti  0.327  0.827  0.000
Ti  0.673  0.173  0.000
Ti  0.827  0.673  0.000
Zn  0.123  0.623  0.500
Zn  0.377  0.123  0.500
Zn  0.623  0.877  0.500
Zn  0.877  0.377  0.500
Sb  0.000  0.000  0.500
Sb  0.500  0.500  0.500

=====

## TiZn3Sb (PBE)

Data for a geometry-optimized TiZn3Sb structure.

Output
E_form (uncorrected): 0.791 eV/atom
symmetry: Pm-3m (221)

Cell: 4.961 4.961 4.961 Å, 90.00 90.00 90.00°
Sites, in units of the cell vectors:
Ti  0.000  0.000  0.000
Zn  0.000  0.000  0.500
Zn  0.000  0.500  0.000
Zn  0.500  0.000  0.000
Sb  0.500  0.500  0.500

=====

## Ti2ZnSb (PBE)

Data for a geometry-optimized Ti2ZnSb structure.

Output
E_form (uncorrected): -0.277 eV/atom
symmetry: P4/mmm (123)

Cell: 4.084 4.084 4.162 Å, 90.00 90.00 90.00°
Sites, in units of the cell vectors:
Ti  0.000  0.500  0.000
Ti  0.500  0.000  0.000
Zn  0.000  0.000  0.500
Sb  0.500  0.500  0.500

=====

## TiZnSb (PBE)

Data for a geometry-optimized TiZnSb structure.

Output
E_form (uncorrected): 0.044 eV/atom
symmetry: P3m1 (156)

Cell: 4.296 4.296 3.679 Å, 90.00 90.00 120.00°
Sites, in units of the cell vectors:
Ti  0.000  0.000  0.000
Zn  0.333  0.667  0.792
Sb  0.667  0.333  0.448